DFT (PBE-GGA) results for an optimized crystal structure of NaIn3Hg12.

Cell lengths 4.4477, 4.4477, 21.1765 Å; angles 90.00, 90.00, 90.00 degrees
Closest atoms and distances in Å follow each position.
Space group P4/mmm (No. 123)
One atom of each set of equivalent atoms:
Na1 0.0000 0.0000 0.0000 (multiplicity 1)  12 Hg 3.15-3.36
In1 0.0000 0.0000 0.2559 (multiplicity 2)  8 Hg 3.17-3.34
In2 0.0000 0.0000 0.5000 (multiplicity 1)  12 Hg 3.15-3.48
Hg1 0.0000 0.5000 0.1191 (multiplicity 4)  8 Hg 3.15-3.37, 2 Na 3.36
Hg2 0.0000 0.5000 0.3735 (multiplicity 4)  6 Hg 3.15-3.48, 4 In 3.34-3.48
Hg3 0.5000 0.5000 0.0000 (multiplicity 1)  4 Na 3.15, 8 Hg 3.36
Hg4 0.5000 0.5000 0.2387 (multiplicity 2)  4 In 3.17, 4 Hg 3.37
Hg5 0.5000 0.5000 0.5000 (multiplicity 1)  4 In 3.15, 8 Hg 3.48

Its total magnetization is 0.000 Bohr magnetons per cell. For the formation energy, the calculation gives -38 meV/atom.

---

DFT (PBE-GGA) results for an optimized crystal structure of Na12In3Hg.

Cell lengths 4.9822, 4.9822, 19.3328 Å; angles 90.00, 90.00, 90.00 degrees
Closest atoms and distances in Å follow each position.
Space group P4/mmm (No. 123)
One atom of each set of equivalent atoms:
Na1 0.0000 0.0000 0.0000 (multiplicity 1)  8 Na 3.44, 4 Hg 3.52
Na2 0.0000 0.0000 0.2482 (multiplicity 2)  8 Na 3.48-3.49, 4 In 3.52
Na3 0.0000 0.0000 0.5000 (multiplicity 1)  8 Na 3.48, 4 In 3.52
Na4 0.0000 0.5000 0.1226 (multiplicity 4)  2 Hg 3.44, 8 Na 3.44-3.52, 2 In 3.50
Na5 0.0000 0.5000 0.3746 (multiplicity 4)  4 In 3.47-3.48, 8 Na 3.48-3.52
In1 0.5000 0.5000 0.2495 (multiplicity 2)  12 Na 3.47-3.52
In2 0.5000 0.5000 0.5000 (multiplicity 1)  12 Na 3.48-3.52
Hg1 0.5000 0.5000 0.0000 (multiplicity 1)  12 Na 3.44-3.52

Its total magnetization is 0.000 Bohr magnetons per cell. For the formation energy, the calculation gives -64 meV/atom.

---

DFT (PBE-GGA) results for an optimized crystal structure of NaIn4Hg3.

Cell lengths 3.3116, 5.9757, 10.9403 Å; angles 99.39, 92.35, 95.66 degrees
Closest atoms and distances in Å follow each position.
Space group P-1 (No. 2)
One atom of each set of equivalent atoms:
Na1 0.0000 0.0000 0.0000 (multiplicity 1)  8 Hg 3.25-3.56, 2 Na 3.31, 2 In 3.52
In1 0.2423 0.2449 0.4937 (multiplicity 2)  9 In 3.22-3.57, 2 Hg 3.24-3.42
In2 0.2547 0.6074 0.7462 (multiplicity 2)  3 Hg 3.04-3.15, 5 In 3.22-3.36
Hg1 0.4993 0.8847 0.2395 (multiplicity 2)  3 In 3.04-3.24, 3 Hg 3.19-3.31, 2 Na 3.25-3.29
Hg2 0.5000 0.5000 0.0000 (multiplicity 1)  2 In 3.05, 4 Hg 3.19-3.31, 2 Na 3.27

Its total magnetization is 0.000 Bohr magnetons per cell. For the formation energy, the calculation gives -64 meV/atom.

---

DFT (PBE-GGA) results for an optimized crystal structure of Na3InHg4.

Cell lengths 6.3900, 10.9474, 6.1967 Å; angles 90.00, 90.00, 90.00 degrees
Closest atoms and distances in Å follow each position.
Space group Imm2 (No. 44)
One atom of each set of equivalent atoms:
Na1 0.0000 0.0000 0.0000 (multiplicity 2)  4 Hg 3.14-3.19, 2 In 3.21, 2 Na 3.29
Na2 0.0000 0.2366 0.6717 (multiplicity 4)  6 Hg 3.11-3.36, 1 In 3.18, 1 Na 3.29
In1 0.0000 0.5000 0.4569 (multiplicity 2)  4 Hg 3.04-3.39, 4 Na 3.18-3.21
Hg1 0.0000 0.2747 0.1692 (multiplicity 4)  1 In 3.04, 5 Na 3.11-3.20, 2 Hg 3.28
Hg2 0.2469 0.0000 0.4374 (multiplicity 4)  3 Na 3.14-3.36, 4 Hg 3.16-3.28, 1 In 3.39

Its total magnetization is 0.000 Bohr magnetons per cell. Its relative energy among the computed polymorphs is 0.075 eV/atom. For the formation energy, the calculation gives -137 meV/atom.

---

DFT (PBE-GGA) results for an optimized crystal structure of NaIn4Hg.

Cell lengths 3.2809, 19.4185, 9.9989 Å; angles 90.00, 90.00, 90.00 degrees
Closest atoms and distances in Å follow each position.
Space group Cmcm (No. 63)
One atom of each set of equivalent atoms:
Na1 0.0000 0.0808 0.2500 (multiplicity 4)  1 Hg 3.22, 2 Na 3.28, 9 In 3.36-3.39
In1 0.0000 0.0924 0.7500 (multiplicity 4)  10 In 3.28-3.49, 1 Na 3.36, 2 Hg 3.53
In2 0.0000 0.3309 0.5083 (multiplicity 8)  3 Hg 3.06-3.29, 5 In 3.28-3.40, 2 Na 3.39
In3 0.0000 0.5000 0.0000 (multiplicity 4)  8 In 3.28-3.49, 4 Na 3.38
Hg1 0.0000 0.2468 0.2500 (multiplicity 4)  6 In 3.06-3.29, 1 Na 3.22, 2 Hg 3.28

Its total magnetization is 0.000 Bohr magnetons per cell. Its relative energy among the computed polymorphs is 0.045 eV/atom. For the formation energy, the calculation gives -40 meV/atom.

---

DFT (PBE-GGA) results for an optimized crystal structure of NaInHg.

Cell lengths 6.1811, 9.5888, 11.1068 Å; angles 90.00, 90.00, 90.00 degrees
Closest atoms and distances in Å follow each position.
Space group Fmmm (No. 69)
One atom of each set of equivalent atoms:
Na1 0.0000 0.0000 0.1429 (multiplicity 8)  4 Hg 3.09, 1 Na 3.17
In1 0.0000 0.1659 0.5000 (multiplicity 8)  3 In 3.18-3.49, 4 Hg 3.28
Hg1 0.2500 0.2500 0.2500 (multiplicity 8)  4 Na 3.09, 2 Hg 3.09, 4 In 3.28

Its total magnetization is 0.000 Bohr magnetons per cell. Its relative energy among the computed polymorphs is 0.080 eV/atom. For the formation energy, the calculation gives -108 meV/atom.

---

Look up the formation energy of the fifth one.
-40 meV/atom

---

What did the sixth record say?
DFT (PBE-GGA) results for an optimized crystal structure of NaInHg.

Cell lengths 6.1811, 9.5888, 11.1068 Å; angles 90.00, 90.00, 90.00 degrees
Closest atoms and distances in Å follow each position.
Space group Fmmm (No. 69)
One atom of each set of equivalent atoms:
Na1 0.0000 0.0000 0.1429 (multiplicity 8)  4 Hg 3.09, 1 Na 3.17
In1 0.0000 0.1659 0.5000 (multiplicity 8)  3 In 3.18-3.49, 4 Hg 3.28
Hg1 0.2500 0.2500 0.2500 (multiplicity 8)  4 Na 3.09, 2 Hg 3.09, 4 In 3.28

Its total magnetization is 0.000 Bohr magnetons per cell. Its relative energy among the computed polymorphs is 0.080 eV/atom. For the formation energy, the calculation gives -108 meV/atom.

---

formation energy of number 2 (Na12In3Hg)?
-64 meV/atom